Entry 1:
{
  "formula": "DyTh2Pt3",
  "functional": "PBE",
  "state": "relaxed",
  "spacegroup": "No. 70",
  "total_energy_ev_per_cell": -179.39,
  "cell": [[0.000, 5.877, 12.582], [4.124, 0.000, 12.582], [4.124, 5.877, 0.000]],
  "species": ["Dy", "Dy", "Dy", "Dy", "Th", "Th", "Th", "Th", "Th", "Th", "Th", "Th", "Pt", "Pt", "Pt", "Pt", "Pt", "Pt", "Pt", "Pt", "Pt", "Pt", "Pt", "Pt"],
  "frac_coords": [[0.042, 0.042, 0.208], [0.208, 0.208, 0.042], [0.792, 0.792, 0.958], [0.958, 0.958, 0.792], [0.126, 0.126, 0.624], [0.292, 0.292, 0.458], [0.376, 0.376, 0.874], [0.458, 0.458, 0.292], [0.542, 0.542, 0.708], [0.624, 0.624, 0.126], [0.708, 0.708, 0.542], [0.874, 0.874, 0.376], [0.043, 0.540, 0.207], [0.123, 0.627, 0.627], [0.207, 0.710, 0.043], [0.290, 0.793, 0.460], [0.373, 0.877, 0.877], [0.460, 0.957, 0.290], [0.540, 0.043, 0.710], [0.627, 0.123, 0.123], [0.710, 0.207, 0.540], [0.793, 0.290, 0.957], [0.877, 0.373, 0.373], [0.957, 0.460, 0.793]]
}

***

Entry 2:
{
  "formula": "Dy2ThPt",
  "functional": "PBE",
  "state": "relaxed",
  "relative_energy_ev_per_atom": 0.062,
  "spacegroup": "No. 123",
  "cell": [[3.551, 0.000, 0.000], [0.000, 3.551, 0.000], [0.000, 0.000, 8.408]],
  "species": ["Dy", "Dy", "Th", "Pt"],
  "frac_coords": [[0.000, 0.000, 0.197], [0.000, 0.000, 0.803], [0.500, 0.500, 0.500], [0.500, 0.500, 0.000]]
}

***

Entry 3:
{
  "formula": "DyThPt10",
  "functional": "PBE",
  "state": "relaxed",
  "spacegroup": "No. 47",
  "total_energy_ev_per_cell": -81.41,
  "cell": [[4.462, 0.000, 0.000], [0.000, 5.391, 0.000], [0.000, 0.000, 9.289]],
  "species": ["Dy", "Th", "Pt", "Pt", "Pt", "Pt", "Pt", "Pt", "Pt", "Pt", "Pt", "Pt"],
  "frac_coords": [[0.000, 0.000, 0.000], [0.000, 0.500, 0.500], [0.000, 0.000, 0.331], [0.000, 0.000, 0.669], [0.000, 0.500, 0.166], [0.000, 0.500, 0.834], [0.500, 0.000, 0.500], [0.500, 0.251, 0.250], [0.500, 0.251, 0.750], [0.500, 0.500, 0.000], [0.500, 0.749, 0.250], [0.500, 0.749, 0.750]]
}

***

Entry 4:
{
  "formula": "DyTh2Pt4",
  "functional": "PBE",
  "state": "relaxed",
  "spacegroup": "No. 122",
  "total_energy_ev_per_cell": -104.13,
  "cell": [[-4.348, 4.348, 4.265], [4.348, -4.348, 4.265], [4.348, 4.348, -4.265]],
  "species": ["Dy", "Dy", "Th", "Th", "Th", "Th", "Pt", "Pt", "Pt", "Pt", "Pt", "Pt", "Pt", "Pt"],
  "frac_coords": [[0.000, 0.000, 0.000], [0.750, 0.250, 0.500], [0.250, 0.125, 0.625], [0.375, 0.750, 0.875], [0.500, 0.625, 0.375], [0.875, 0.500, 0.125], [0.118, 0.371, 0.412], [0.121, 0.368, 0.912], [0.294, 0.882, 0.254], [0.456, 0.209, 0.088], [0.629, 0.041, 0.746], [0.632, 0.544, 0.754], [0.791, 0.879, 0.246], [0.959, 0.706, 0.588]]
}

***

Entry 5:
{
  "formula": "DyTh3Pt12",
  "functional": "PBE",
  "state": "relaxed",
  "spacegroup": "No. 123",
  "total_energy_ev_per_cell": -117.12,
  "cell": [[4.207, 0.000, 0.000], [0.000, 4.207, 0.000], [0.000, 0.000, 16.824]],
  "species": ["Dy", "Th", "Th", "Th", "Pt", "Pt", "Pt", "Pt", "Pt", "Pt", "Pt", "Pt", "Pt", "Pt", "Pt", "Pt"],
  "frac_coords": [[0.000, 0.000, 0.000], [0.000, 0.000, 0.245], [0.000, 0.000, 0.500], [0.000, 0.000, 0.755], [0.000, 0.500, 0.122], [0.000, 0.500, 0.374], [0.000, 0.500, 0.626], [0.000, 0.500, 0.878], [0.500, 0.000, 0.122], [0.500, 0.000, 0.374], [0.500, 0.000, 0.626], [0.500, 0.000, 0.878], [0.500, 0.500, 0.000], [0.500, 0.500, 0.248], [0.500, 0.500, 0.500], [0.500, 0.500, 0.752]]
}

***

Entry 6:
{
  "formula": "DyThTlPt",
  "functional": "PBE",
  "state": "relaxed",
  "spacegroup": "No. 216",
  "total_energy_ev_per_cell": -22.58,
  "cell": [[0.000, 3.711, 3.711], [3.711, 0.000, 3.711], [3.711, 3.711, 0.000]],
  "species": ["Dy", "Th", "Tl", "Pt"],
  "frac_coords": [[0.000, 0.000, 0.000], [0.500, 0.500, 0.500], [0.250, 0.250, 0.250], [0.750, 0.750, 0.750]]
}

***

Entry 7:
{
  "formula": "DyThZnPt",
  "functional": "PBE",
  "state": "relaxed",
  "spacegroup": "No. 216",
  "total_energy_ev_per_cell": -21.98,
  "cell": [[0.000, 3.596, 3.596], [3.596, 0.000, 3.596], [3.596, 3.596, 0.000]],
  "species": ["Dy", "Th", "Zn", "Pt"],
  "frac_coords": [[0.000, 0.000, 0.000], [0.500, 0.500, 0.500], [0.250, 0.250, 0.250], [0.750, 0.750, 0.750]]
}

***

Entry 8:
{
  "formula": "Dy3TiPt12",
  "functional": "PBE",
  "state": "relaxed",
  "spacegroup": "No. 123",
  "total_energy_ev_per_cell": -110.15,
  "cell": [[4.075, 0.000, 0.000], [0.000, 4.075, 0.000], [0.000, 0.000, 16.321]],
  "species": ["Dy", "Dy", "Dy", "Ti", "Pt", "Pt", "Pt", "Pt", "Pt", "Pt", "Pt", "Pt", "Pt", "Pt", "Pt", "Pt"],
  "frac_coords": [[0.000, 0.000, 0.000], [0.000, 0.000, 0.254], [0.000, 0.000, 0.746], [0.000, 0.000, 0.500], [0.000, 0.500, 0.128], [0.000, 0.500, 0.386], [0.000, 0.500, 0.614], [0.000, 0.500, 0.872], [0.500, 0.000, 0.128], [0.500, 0.000, 0.386], [0.500, 0.000, 0.614], [0.500, 0.000, 0.872], [0.500, 0.500, 0.000], [0.500, 0.500, 0.257], [0.500, 0.500, 0.500], [0.500, 0.500, 0.743]]
}

***

Entry 9:
{
  "formula": "DyTiPt2",
  "functional": "PBE",
  "state": "relaxed",
  "relative_energy_ev_per_atom": 0.112,
  "spacegroup": "No. 123",
  "cell": [[4.807, 0.000, 0.000], [0.000, 4.807, 0.000], [0.000, 0.000, 3.213]],
  "species": ["Dy", "Ti", "Pt", "Pt"],
  "frac_coords": [[0.000, 0.000, 0.000], [0.500, 0.500, 0.000], [0.000, 0.500, 0.500], [0.500, 0.000, 0.500]]
}

***

Entry 10:
{
  "formula": "DyTi2Pt9",
  "functional": "PBE",
  "state": "relaxed",
  "spacegroup": "No. 123",
  "total_energy_ev_per_cell": -86.00,
  "cell": [[4.006, 0.000, 0.000], [0.000, 4.006, 0.000], [0.000, 0.000, 12.023]],
  "species": ["Dy", "Ti", "Ti", "Pt", "Pt", "Pt", "Pt", "Pt", "Pt", "Pt", "Pt", "Pt"],
  "frac_coords": [[0.000, 0.000, 0.000], [0.000, 0.000, 0.335], [0.000, 0.000, 0.665], [0.000, 0.500, 0.180], [0.000, 0.500, 0.500], [0.000, 0.500, 0.820], [0.500, 0.000, 0.180], [0.500, 0.000, 0.500], [0.500, 0.000, 0.820], [0.500, 0.500, 0.000], [0.500, 0.500, 0.340], [0.500, 0.500, 0.660]]
}

***

Entry 11:
{
  "formula": "DyTiPt2",
  "functional": "PBE",
  "state": "relaxed",
  "relative_energy_ev_per_atom": 0.000,
  "spacegroup": "No. 166",
  "cell": [[2.218, 1.281, 4.666], [-2.218, 1.281, 4.666], [0.000, -2.562, 4.666]],
  "species": ["Dy", "Ti", "Pt", "Pt"],
  "frac_coords": [[0.000, 0.000, 0.000], [0.500, 0.500, 0.500], [0.214, 0.214, 0.214], [0.786, 0.786, 0.786]]
}

***

Entry 12:
{
  "formula": "DyTiPt2",
  "functional": "PBE",
  "state": "relaxed",
  "relative_energy_ev_per_atom": 0.008,
  "spacegroup": "No. 123",
  "cell": [[3.213, 0.000, 0.000], [0.000, 3.213, 0.000], [0.000, 0.000, 7.165]],
  "species": ["Dy", "Ti", "Pt", "Pt"],
  "frac_coords": [[0.000, 0.000, 0.000], [0.000, 0.000, 0.500], [0.500, 0.500, 0.295], [0.500, 0.500, 0.705]]
}

***

Entry 13:
{
  "formula": "Dy2TiPt9",
  "functional": "PBE",
  "state": "relaxed",
  "spacegroup": "No. 123",
  "total_energy_ev_per_cell": -83.38,
  "cell": [[4.063, 0.000, 0.000], [0.000, 4.063, 0.000], [0.000, 0.000, 12.186]],
  "species": ["Dy", "Dy", "Ti", "Pt", "Pt", "Pt", "Pt", "Pt", "Pt", "Pt", "Pt", "Pt"],
  "frac_coords": [[0.000, 0.000, 0.169], [0.000, 0.000, 0.831], [0.000, 0.000, 0.500], [0.000, 0.500, 0.000], [0.000, 0.500, 0.346], [0.000, 0.500, 0.654], [0.500, 0.000, 0.000], [0.500, 0.000, 0.346], [0.500, 0.000, 0.654], [0.500, 0.500, 0.173], [0.500, 0.500, 0.500], [0.500, 0.500, 0.827]]
}

***

Entry 14:
{
  "formula": "DyTiZnPt",
  "functional": "PBE",
  "state": "relaxed",
  "spacegroup": "No. 216",
  "total_energy_ev_per_cell": -21.88,
  "cell": [[0.000, 3.361, 3.361], [3.361, 0.000, 3.361], [3.361, 3.361, 0.000]],
  "species": ["Dy", "Ti", "Zn", "Pt"],
  "frac_coords": [[0.000, 0.000, 0.000], [0.500, 0.500, 0.500], [0.750, 0.750, 0.750], [0.250, 0.250, 0.250]]
}

***

Entry 15:
{
  "formula": "Dy2TiZn2Pt5",
  "functional": "PBE",
  "state": "relaxed",
  "spacegroup": "No. 127",
  "total_energy_ev_per_cell": -118.11,
  "cell": [[9.684, 0.000, 0.000], [0.000, 9.684, 0.000], [0.000, 0.000, 3.747]],
  "species": ["Dy", "Dy", "Dy", "Dy", "Ti", "Ti", "Zn", "Zn", "Zn", "Zn", "Pt", "Pt", "Pt", "Pt", "Pt", "Pt", "Pt", "Pt", "Pt", "Pt"],
  "frac_coords": [[0.174, 0.326, 0.000], [0.326, 0.826, 0.000], [0.674, 0.174, 0.000], [0.826, 0.674, 0.000], [0.000, 0.000, 0.000], [0.500, 0.500, 0.000], [0.125, 0.625, 0.000], [0.375, 0.125, 0.000], [0.625, 0.875, 0.000], [0.875, 0.375, 0.000], [0.000, 0.500, 0.500], [0.062, 0.799, 0.500], [0.201, 0.062, 0.500], [0.299, 0.562, 0.500], [0.438, 0.299, 0.500], [0.500, 0.000, 0.500], [0.562, 0.701, 0.500], [0.701, 0.438, 0.500], [0.799, 0.938, 0.500], [0.938, 0.201, 0.500]]
}

***

Entry 16:
{
  "formula": "DyTlPt2",
  "functional": "PBE",
  "state": "relaxed",
  "spacegroup": "No. 123",
  "total_energy_ev_per_cell": -21.80,
  "cell": [[3.675, 0.000, 0.000], [0.000, 3.675, 0.000], [0.000, 0.000, 6.104]],
  "species": ["Dy", "Tl", "Pt", "Pt"],
  "frac_coords": [[0.000, 0.000, 0.000], [0.000, 0.000, 0.500], [0.500, 0.500, 0.244], [0.500, 0.500, 0.756]]
}

***

Entry 17:
{
  "formula": "Dy12TlPt6",
  "functional": "PBE",
  "state": "relaxed",
  "spacegroup": "No. 204",
  "total_energy_ev_per_cell": -109.86,
  "cell": [[-4.990, 4.990, 4.990], [4.990, -4.990, 4.990], [4.990, 4.990, -4.990]],
  "species": ["Dy", "Dy", "Dy", "Dy", "Dy", "Dy", "Dy", "Dy", "Dy", "Dy", "Dy", "Dy", "Tl", "Pt", "Pt", "Pt", "Pt", "Pt", "Pt"],
  "frac_coords": [[0.119, 0.299, 0.819], [0.181, 0.480, 0.299], [0.181, 0.881, 0.701], [0.299, 0.181, 0.480], [0.299, 0.819, 0.119], [0.480, 0.299, 0.181], [0.520, 0.701, 0.819], [0.701, 0.181, 0.881], [0.701, 0.819, 0.520], [0.819, 0.119, 0.299], [0.819, 0.520, 0.701], [0.881, 0.701, 0.181], [0.000, 0.000, 0.000], [0.139, 0.500, 0.639], [0.361, 0.861, 0.500], [0.500, 0.361, 0.861], [0.500, 0.639, 0.139], [0.639, 0.139, 0.500], [0.861, 0.500, 0.361]]
}

***

Entry 18:
{
  "formula": "Dy4TlPt",
  "functional": "PBE",
  "state": "relaxed",
  "relative_energy_ev_per_atom": 0.000,
  "spacegroup": "No. 216",
  "cell": [[0.000, 6.884, 6.884], [6.884, 0.000, 6.884], [6.884, 6.884, 0.000]],
  "species": ["Dy", "Dy", "Dy", "Dy", "Dy", "Dy", "Dy", "Dy", "Dy", "Dy", "Dy", "Dy", "Dy", "Dy", "Dy", "Dy", "Tl", "Tl", "Tl", "Tl", "Pt", "Pt", "Pt", "Pt"],
  "frac_coords": [[0.055, 0.648, 0.648], [0.061, 0.061, 0.439], [0.061, 0.439, 0.061], [0.061, 0.439, 0.439], [0.188, 0.188, 0.812], [0.188, 0.812, 0.188], [0.188, 0.812, 0.812], [0.439, 0.061, 0.061], [0.439, 0.061, 0.439], [0.439, 0.439, 0.061], [0.648, 0.055, 0.648], [0.648, 0.648, 0.055], [0.648, 0.648, 0.648], [0.812, 0.188, 0.188], [0.812, 0.188, 0.812], [0.812, 0.812, 0.188], [0.414, 0.414, 0.414], [0.414, 0.414, 0.759], [0.414, 0.759, 0.414], [0.759, 0.414, 0.414], [0.430, 0.857, 0.857], [0.857, 0.430, 0.857], [0.857, 0.857, 0.430], [0.857, 0.857, 0.857]]
}

***

Entry 19:
{
  "formula": "Dy2TlPt9",
  "functional": "PBE",
  "state": "relaxed",
  "spacegroup": "No. 123",
  "total_energy_ev_per_cell": -74.37,
  "cell": [[4.114, 0.000, 0.000], [0.000, 4.114, 0.000], [0.000, 0.000, 12.341]],
  "species": ["Dy", "Dy", "Tl", "Pt", "Pt", "Pt", "Pt", "Pt", "Pt", "Pt", "Pt", "Pt"],
  "frac_coords": [[0.000, 0.000, 0.167], [0.000, 0.000, 0.833], [0.000, 0.000, 0.500], [0.000, 0.500, 0.000], [0.000, 0.500, 0.333], [0.000, 0.500, 0.667], [0.500, 0.000, 0.000], [0.500, 0.000, 0.333], [0.500, 0.000, 0.667], [0.500, 0.500, 0.168], [0.500, 0.500, 0.500], [0.500, 0.500, 0.832]]
}

***

Entry 20:
{
  "formula": "Dy11Tl9Pt4",
  "functional": "PBE",
  "state": "relaxed",
  "spacegroup": "No. 65",
  "total_energy_ev_per_cell": -112.34,
  "cell": [[7.414, -11.131, 0.000], [7.414, 11.131, 0.000], [0.000, 0.000, 3.688]],
  "species": ["Dy", "Dy", "Dy", "Dy", "Dy", "Dy", "Dy", "Dy", "Dy", "Dy", "Dy", "Tl", "Tl", "Tl", "Tl", "Tl", "Tl", "Tl", "Tl", "Tl", "Pt", "Pt", "Pt", "Pt"],
  "frac_coords": [[0.000, 0.000, 0.000], [0.079, 0.416, 0.000], [0.161, 0.839, 0.000], [0.309, 0.309, 0.000], [0.372, 0.628, 0.000], [0.416, 0.079, 0.000], [0.584, 0.921, 0.000], [0.628, 0.372, 0.000], [0.691, 0.691, 0.000], [0.839, 0.161, 0.000], [0.921, 0.584, 0.000], [0.067, 0.214, 0.500], [0.150, 0.633, 0.500], [0.214, 0.067, 0.500], [0.367, 0.850, 0.500], [0.500, 0.500, 0.500], [0.633, 0.150, 0.500], [0.786, 0.933, 0.500], [0.850, 0.367, 0.500], [0.933, 0.786, 0.500], [0.249, 0.450, 0.500], [0.450, 0.249, 0.500], [0.550, 0.751, 0.500], [0.751, 0.550, 0.500]]
}